The following is a GGA-PBE calculation of an optimized crystal structure of NdZn2Ag10, from Alexandria via LeMat-Bulk.

Calculated values
Symmetry: Fmmm
DFT formation energy in eV/atom: -0.085
ρ in Mg/m³: 9.2
Magnetic moment in μB/atom: 0.00

a b c (Å): 5.417 7.268 7.249
angles (deg): 81.99 68.06 68.12
Fractional coordinates of all 13 atoms:
Nd 0.000 0.000 0.000
Zn 0.000 0.500 0.000
Zn 0.500 0.500 0.000
Ag 0.349 0.645 0.658
Ag 0.651 0.355 0.342
Ag 0.994 0.355 0.658
Ag 0.006 0.645 0.342
Ag 0.000 0.000 0.500
Ag 0.500 0.000 0.500
Ag 0.283 0.223 0.211
Ag 0.717 0.777 0.789
Ag 0.506 0.777 0.211
Ag 0.494 0.223 0.789